Below is a geometry-optimized PmF2 structure, with properties calculated at the PBE level.

Properties
For the total energy, the calculation gives -6.14 eV/atom. The calculation puts the polymorph energy (0 for the lowest one) at 0 meV/atom.

Lattice parameters (Å, degrees): 3.9676 3.9676 3.9676 60.00 60.00 60.00
Closest atoms and distances in Å follow each position.
Atoms (fractional coordinates):
F 0.2500 0.2500 0.2500  4 Pm 2.43
F 0.7500 0.7500 0.7500  4 Pm 2.43
Pm 0.0000 0.0000 0.0000  8 F 2.43

Below is a geometry-optimized YZr2Ga structure, with properties calculated at the PBE level.

Properties
For the total energy, the calculation gives -6.71 eV/atom.

Lattice parameters (Å, degrees): 5.0227 5.0227 5.0227 60.00 60.00 60.00
Closest atoms and distances in Å follow each position.
Atoms (fractional coordinates):
Ga 0.5000 0.5000 0.5000  4 Y 3.08, 4 Zr 3.08
Y 0.2500 0.2500 0.2500  4 Ga 3.08, 4 Zr 3.08
Zr 0.0000 0.0000 0.0000  4 Y 3.08, 4 Zr 3.08
Zr 0.7500 0.7500 0.7500  4 Ga 3.08, 4 Zr 3.08

Below is a geometry-optimized Sc2ZnTc structure, with properties calculated at the PBE level.

Properties
For the total energy, the calculation gives -5.85 eV/atom.

Lattice parameters (Å, degrees): 4.5405 4.5405 8.6584 90.00 90.00 120.00
Closest atoms and distances in Å follow each position.
Atoms (fractional coordinates):
Sc 0.6667 0.3333 0.0819  3 Tc 2.72, 4 Zn 2.87-3.00, 4 Sc 2.91-2.98
Sc 0.6667 0.3333 0.4181  3 Tc 2.72, 4 Zn 2.87-3.00, 4 Sc 2.91-2.98
Sc 0.3333 0.6667 0.5819  3 Tc 2.72, 4 Zn 2.87-3.00, 4 Sc 2.91-2.98
Sc 0.3333 0.6667 0.9181  3 Tc 2.72, 4 Zn 2.87-3.00, 4 Sc 2.91-2.98
Tc 0.0000 0.0000 0.0000  6 Sc 2.72
Tc 0.0000 0.0000 0.5000  6 Sc 2.72
Zn 0.3333 0.6667 0.2500  8 Sc 2.87-3.00
Zn 0.6667 0.3333 0.7500  8 Sc 2.87-3.00

Below is a geometry-optimized Fe2BOs structure, with properties calculated at the PBE level.

Properties
For the total energy, the calculation gives -8.38 eV/atom.

Lattice parameters (Å, degrees): 3.9216 3.9216 3.9216 60.00 60.00 60.00
Closest atoms and distances in Å follow each position.
Atoms (fractional coordinates):
B 0.5000 0.5000 0.5000  4 Fe 2.40, 4 Os 2.40
Fe 0.0000 0.0000 0.0000  4 Fe 2.40, 4 Os 2.40
Fe 0.7500 0.7500 0.7500  4 B 2.40, 4 Fe 2.40
Os 0.2500 0.2500 0.2500  4 B 2.40, 4 Fe 2.40

Below is a geometry-optimized NdAgTePbSe2 structure, with properties calculated at the PBE level.

Properties
For the total energy, the calculation gives -4.46 eV/atom.

Lattice parameters (Å, degrees): 7.4619 7.4619 11.4698 90.00 90.00 146.93
Closest atoms and distances in Å follow each position.
Atoms (fractional coordinates):
Ag 0.9757 0.0243 0.2500  2 Se 2.66, 2 Te 2.83
Ag 0.0243 0.9757 0.7500  2 Se 2.66, 2 Te 2.83
Nd 0.5000 0.5000 0.0000  4 Se 2.99, 2 Te 3.24
Nd 0.5000 0.5000 0.5000  4 Se 2.99, 2 Te 3.24
Pb 0.2837 0.7163 0.2500  4 Se 3.20, 2 Te 3.31, 2 Ag 3.47
Pb 0.7163 0.2837 0.7500  4 Se 3.20, 2 Te 3.31, 2 Ag 3.47
Se 0.8626 0.1374 0.0658  1 Ag 2.66
Se 0.8626 0.1374 0.4342  1 Ag 2.66
Se 0.1374 0.8626 0.5658  1 Ag 2.66
Se 0.1374 0.8626 0.9342  1 Ag 2.66
Te 0.6061 0.3939 0.2500  2 Ag 2.83
Te 0.3939 0.6061 0.7500  2 Ag 2.83

Below is a geometry-optimized ThZn2 structure, with properties calculated at the PBE level.

Properties
For the total energy, the calculation gives -3.44 eV/atom.

Lattice parameters (Å, degrees): 4.9517 11.1330 4.5069 90.00 90.00 90.00
Closest atoms and distances in Å follow each position.
Atoms (fractional coordinates):
Th 0.9303 0.0000 0.0000  8 Zn 3.09-3.36, 4 Th 3.25-3.45
Th 0.4303 0.5000 0.0000  8 Zn 3.09-3.36, 4 Th 3.25-3.45
Th 0.4030 0.0000 0.5000  8 Zn 3.09-3.36, 4 Th 3.25-3.45
Th 0.9030 0.5000 0.5000  8 Zn 3.09-3.36, 4 Th 3.25-3.45
Zn 0.4972 0.1995 0.0000  6 Zn 2.64-2.81
Zn 0.9972 0.3005 0.0000  6 Zn 2.64-2.81
Zn 0.9972 0.6995 0.0000  6 Zn 2.64-2.81
Zn 0.4972 0.8005 0.0000  6 Zn 2.64-2.81
Zn 0.8361 0.1995 0.5000  6 Zn 2.64-2.81
Zn 0.3361 0.3005 0.5000  6 Zn 2.64-2.81
Zn 0.3361 0.6995 0.5000  6 Zn 2.64-2.81
Zn 0.8361 0.8005 0.5000  6 Zn 2.64-2.81

Below is a geometry-optimized LaNd2Zn4Si4 structure, with properties calculated at the PBE level.

Properties
For the total energy, the calculation gives -4.32 eV/atom.

Lattice parameters (Å, degrees): 12.7339 12.7339 12.7339 161.05 160.90 27.03
Closest atoms and distances in Å follow each position.
Atoms (fractional coordinates):
La 0.0000 0.0000 0.0000  4 Zn 3.17, 8 Si 3.21
Nd 0.8540 0.3540 0.5000  6 Si 3.19-3.21, 8 Zn 3.23-3.34
Nd 0.1460 0.6460 0.5000  6 Si 3.19-3.21, 8 Zn 3.23-3.34
Si 0.4517 0.4517 0.0000  1 Si 2.39, 2 Zn 2.40
Si 0.5483 0.5483 0.0000  1 Si 2.39, 2 Zn 2.40
Si 0.6918 0.1918 0.5000  5 Zn 2.38-2.55
Si 0.3082 0.8082 0.5000  5 Zn 2.38-2.55
Zn 0.2496 0.2496 0.0000  4 Si 2.55
Zn 0.7504 0.7504 0.0000  4 Si 2.55
Zn 0.5956 0.0956 0.5000  3 Si 2.38-2.40
Zn 0.4044 0.9044 0.5000  3 Si 2.38-2.40

Below is a geometry-optimized CdSnAs structure, with properties calculated at the PBE level.

Properties
For the total energy, the calculation gives -2.96 eV/atom.

Lattice parameters (Å, degrees): 4.8944 4.8944 4.8944 60.00 60.00 60.00
Closest atoms and distances in Å follow each position.
Atoms (fractional coordinates):
As 0.0000 0.0000 0.0000  4 Sn 3.00
Cd 0.5000 0.5000 0.5000  4 Sn 3.00
Sn 0.2500 0.2500 0.2500  4 Cd 3.00, 4 As 3.00

Below is a geometry-optimized TmGePO structure, with properties calculated at the PBE level.

Properties
For the total energy, the calculation gives -6.25 eV/atom. The calculation puts the polymorph energy (0 for the lowest one) at 58 meV/atom.

Lattice parameters (Å, degrees): 3.6634 6.3113 6.7249 90.00 90.00 90.00
Closest atoms and distances in Å follow each position.
Atoms (fractional coordinates):
Ge 0.0000 0.3744 0.0624  1 O 1.93
Ge 0.0000 0.6256 0.5624  1 O 1.93
O 0.0000 0.2291 0.3155  1 Ge 1.93, 2 Tm 2.14
O 0.0000 0.7709 0.8155  1 Ge 1.93, 2 Tm 2.14
P 0.5000 0.7947 0.3976  2 Ge 2.39
P 0.5000 0.2053 0.8976  2 Ge 2.39
Tm 0.5000 0.2309 0.4786  2 O 2.14
Tm 0.5000 0.7691 0.9786  2 O 2.14

Below is a geometry-optimized Al2Ag2O5 structure, with properties calculated at the PBE level.

Properties
For the total energy, the calculation gives -5.68 eV/atom. The calculation puts the polymorph energy (0 for the lowest one) at 0 meV/atom.

Lattice parameters (Å, degrees): 7.5680 3.5974 3.5974 90.00 90.00 90.00
Closest atoms and distances in Å follow each position.
Atoms (fractional coordinates):
Ag 0.0000 0.0000 0.0000  8 O 2.35
Ag 0.5000 0.0000 0.0000  4 O 2.54
Al 0.2636 0.5000 0.5000  5 O 1.79-1.86
Al 0.7364 0.5000 0.5000  5 O 1.79-1.86
O 0.1998 0.5000 0.0000  2 Al 1.86
O 0.8002 0.5000 0.0000  2 Al 1.86
O 0.1998 0.0000 0.5000  2 Al 1.86
O 0.8002 0.0000 0.5000  2 Al 1.86
O 0.5000 0.5000 0.5000  2 Al 1.79

Below is a geometry-optimized In2Pt7 structure, with properties calculated at the PBE level.

Properties
For the total energy, the calculation gives -5.25 eV/atom.

Lattice parameters (Å, degrees): 2.8695 2.8695 30.4894 90.00 90.00 120.00
Closest atoms and distances in Å follow each position.
Atoms (fractional coordinates):
In 0.3333 0.6667 0.1995  6 In 2.87, 3 Pt 2.91
In 0.6667 0.3333 0.8005  6 In 2.87, 3 Pt 2.91
Pt 0.0000 0.0000 0.2781  9 Pt 2.83-2.87, 3 In 2.91
Pt 0.6667 0.3333 0.3536  12 Pt 2.79-2.87
Pt 0.3333 0.6667 0.4271  12 Pt 2.77-2.87
Pt 0.0000 0.0000 0.5000  12 Pt 2.77-2.87
Pt 0.6667 0.3333 0.5729  12 Pt 2.77-2.87
Pt 0.3333 0.6667 0.6464  12 Pt 2.79-2.87
Pt 0.0000 0.0000 0.7219  9 Pt 2.83-2.87, 3 In 2.91

Below is a geometry-optimized Hf2W structure, with properties calculated at the PBE level.

Properties
For the total energy, the calculation gives -10.29 eV/atom. The calculation puts the polymorph energy (0 for the lowest one) at 560 meV/atom.

Lattice parameters (Å, degrees): 5.5297 5.5297 8.8409 90.00 90.00 120.00
Closest atoms and distances in Å follow each position.
Atoms (fractional coordinates):
Hf 0.0000 0.0000 0.0000  6 Hf 2.77
Hf 0.3470 0.1735 0.2500  6 Hf 2.65-2.88
Hf 0.8265 0.1735 0.2500  6 Hf 2.65-2.88
Hf 0.8265 0.6530 0.2500  6 Hf 2.65-2.88
Hf 0.0000 0.0000 0.5000  6 Hf 2.77
Hf 0.1735 0.3470 0.7500  6 Hf 2.65-2.88
Hf 0.1735 0.8265 0.7500  6 Hf 2.65-2.88
Hf 0.6530 0.8265 0.7500  6 Hf 2.65-2.88
W 0.3333 0.6667 0.0654  12 Hf 3.18-3.24, 4 W 3.26-3.40
W 0.3333 0.6667 0.4346  12 Hf 3.18-3.24, 4 W 3.26-3.40
W 0.6667 0.3333 0.5654  12 Hf 3.18-3.24, 4 W 3.26-3.40
W 0.6667 0.3333 0.9346  12 Hf 3.18-3.24, 4 W 3.26-3.40